No. 1
SmHo2UO8: optimized geometry, PBE-GGA.

a b c (Å): 3.892 5.309 7.593
angles (deg): 90.00 90.00 90.01
Site moments in Bohr magnetons follow the coordinates.
Fractional positions:
Ho: 0.500 0.500 0.243  -0.01
O: 0.500 0.767 0.000  0.02
Sm: 0.000 0.000 0.500  0.00
Ho: 0.500 0.500 0.757  -0.01
U: 0.000 0.000 0.000  -0.01
O: 0.000 0.756 0.225  0.02
O: 0.500 0.738 0.500  0.29
O: 0.000 0.244 0.225  0.02
O: 0.500 0.233 0.000  0.02
O: 0.000 0.244 0.775  0.02
O: 0.000 0.756 0.775  0.02
O: 0.500 0.262 0.500  0.29

Results
Formation energy without anion corrections ... -39.25 eV per formula unit
Fermi-level density of states ... 0.4491 states/eV per atom
Total DFT energy (no corrections) ... -8.673 eV per atom
Volume ... 156.9 Å³ per cell

No. 2
Ho12Sn3O5: optimized geometry, PBE-GGA.

a b c (Å): 13.420 13.420 13.420
angles (deg): 109.47 109.47 109.47
Fractional positions:
Sn: 0.375 0.625 0.250
O: 0.000 0.000 0.500
O: 0.250 0.875 0.125
Ho: 0.893 0.304 0.492
Sn: 0.125 0.250 0.875
O: 0.125 0.750 0.375
Ho: 0.008 0.607 0.696
O: 0.500 0.000 0.500
Ho: 0.901 0.089 0.893
O: 0.375 0.250 0.125
Ho: 0.188 0.099 0.992
Ho: 0.411 0.304 0.312
Ho: 0.188 0.089 0.696
O: 0.625 0.750 0.875
Sn: 0.125 0.875 0.750
Ho: 0.312 0.508 0.401
O: 0.500 0.500 0.500
Sn: 0.625 0.375 0.750
Ho: 0.089 0.901 0.393
Ho: 0.607 0.008 0.196
Ho: 0.812 0.901 0.008
Ho: 0.008 0.401 0.812
Ho: 0.607 0.599 0.911
Ho: 0.688 0.196 0.589
O: 0.125 0.375 0.250
Sn: 0.625 0.250 0.375
Ho: 0.107 0.411 0.099
Ho: 0.696 0.107 0.008
Sn: 0.875 0.125 0.250
Sn: 0.750 0.875 0.625
Ho: 0.401 0.393 0.589
Ho: 0.492 0.688 0.099
O: 0.250 0.375 0.625
Sn: 0.875 0.750 0.125
Ho: 0.099 0.911 0.107
Ho: 0.911 0.812 0.804
Ho: 0.393 0.401 0.089
Ho: 0.089 0.188 0.196
Ho: 0.312 0.804 0.411
O: 0.375 0.125 0.750
Ho: 0.688 0.492 0.599
Ho: 0.911 0.099 0.607
Ho: 0.804 0.312 0.911
Sn: 0.750 0.375 0.125
Ho: 0.893 0.589 0.901
O: 0.000 0.500 0.000
O: 0.625 0.875 0.250
O: 0.000 0.000 0.000
O: 0.500 0.500 0.000
Ho: 0.492 0.804 0.893
Ho: 0.992 0.393 0.304
Ho: 0.599 0.992 0.688
Ho: 0.393 0.992 0.804
Ho: 0.196 0.688 0.089
Ho: 0.901 0.812 0.508
Ho: 0.589 0.696 0.688
Ho: 0.196 0.508 0.607
Sn: 0.250 0.625 0.875
Ho: 0.812 0.911 0.304
Ho: 0.589 0.893 0.401
O: 0.750 0.625 0.375
Ho: 0.304 0.411 0.812
Ho: 0.599 0.607 0.411
O: 0.000 0.500 0.500
Ho: 0.804 0.492 0.393
Sn: 0.375 0.750 0.625
Ho: 0.508 0.196 0.107
Ho: 0.696 0.589 0.188
Sn: 0.250 0.125 0.375
O: 0.750 0.125 0.875
Ho: 0.411 0.107 0.599
Ho: 0.508 0.312 0.901
Ho: 0.992 0.599 0.188
O: 0.875 0.625 0.750
Ho: 0.401 0.008 0.312
O: 0.875 0.250 0.625
Ho: 0.099 0.188 0.492
Ho: 0.107 0.696 0.508
Ho: 0.304 0.893 0.992
O: 0.500 0.000 0.000

Results
Formation energy without anion corrections ... -32.73 eV per formula unit
Fermi-level density of states ... 0.8011 states/eV per atom
Total DFT energy (no corrections) ... -6.223 eV per atom
Volume ... 1860.4 Å³ per cell

No. 3
Ho6SnO12: optimized geometry, PBE-GGA.

a b c (Å): 6.494 6.494 6.494
angles (deg): 99.14 99.14 99.14
Site moments in Bohr magnetons follow the coordinates.
Fractional positions:
O: 0.822 0.418 0.561  0.23
O: 0.932 0.688 0.053  0.07
O: 0.068 0.312 0.947  0.07
O: 0.178 0.582 0.439  0.23
O: 0.418 0.561 0.822  0.23
Ho: 0.704 0.392 0.863  0.00
O: 0.582 0.439 0.178  0.23
Ho: 0.137 0.296 0.608  0.00
O: 0.312 0.947 0.068  0.07
Ho: 0.296 0.608 0.137  0.00
Ho: 0.863 0.704 0.392  0.00
O: 0.053 0.932 0.688  0.07
O: 0.439 0.178 0.582  0.23
Ho: 0.392 0.863 0.704  0.00
O: 0.688 0.053 0.932  0.07
Ho: 0.608 0.137 0.296  0.00
Sn: 0.000 0.000 0.000  0.00
O: 0.947 0.068 0.312  0.07
O: 0.561 0.822 0.418  0.23

Results
Formation energy without anion corrections ... -58.23 eV per formula unit
Fermi-level density of states ... 0.5585 states/eV per atom
Total DFT energy (no corrections) ... -7.852 eV per atom
Volume ... 262.2 Å³ per cell

No. 4
Ho3Sn5O12: optimized geometry, PBE-GGA.

a b c (Å): 11.520 11.520 11.520
angles (deg): 109.47 109.47 109.47
Fractional positions:
Sn: 0.000 0.500 0.000
Sn: 0.250 0.875 0.125
O: 0.711 0.580 0.164
O: 0.420 0.289 0.336
Sn: 0.500 0.000 0.500
O: 0.289 0.420 0.836
O: 0.289 0.869 0.953
O: 0.580 0.711 0.664
Sn: 0.875 0.625 0.750
O: 0.664 0.453 0.584
Sn: 0.250 0.375 0.625
O: 0.211 0.664 0.080
O: 0.547 0.211 0.131
Sn: 0.625 0.750 0.875
Ho: 0.875 0.125 0.250
Ho: 0.375 0.750 0.625
O: 0.953 0.584 0.164
O: 0.631 0.047 0.211
O: 0.453 0.664 0.084
Ho: 0.250 0.625 0.875
O: 0.953 0.369 0.289
O: 0.047 0.416 0.836
Ho: 0.375 0.625 0.250
O: 0.047 0.631 0.711
Sn: 0.875 0.250 0.625
Sn: 0.500 0.500 0.500
Ho: 0.750 0.875 0.625
O: 0.920 0.084 0.631
O: 0.369 0.953 0.789
O: 0.789 0.336 0.920
Ho: 0.750 0.375 0.125
O: 0.869 0.580 0.916
Ho: 0.125 0.250 0.875
O: 0.164 0.080 0.711
Ho: 0.625 0.375 0.750
O: 0.336 0.547 0.416
O: 0.547 0.336 0.916
O: 0.584 0.953 0.664
Sn: 0.625 0.875 0.250
O: 0.836 0.916 0.047
Sn: 0.500 0.000 0.000
Sn: 0.375 0.250 0.125
Sn: 0.125 0.750 0.375
O: 0.131 0.420 0.084
O: 0.080 0.916 0.369
O: 0.916 0.836 0.547
O: 0.164 0.084 0.953
O: 0.084 0.164 0.453
O: 0.664 0.211 0.580
O: 0.869 0.289 0.453
O: 0.211 0.547 0.631
O: 0.789 0.453 0.369
O: 0.416 0.369 0.580
O: 0.131 0.711 0.547
Sn: 0.375 0.125 0.750
Sn: 0.000 0.000 0.000
O: 0.369 0.416 0.080
O: 0.416 0.047 0.336
O: 0.420 0.131 0.584
O: 0.584 0.631 0.420
Sn: 0.125 0.375 0.250
Sn: 0.500 0.500 0.000
Ho: 0.125 0.875 0.750
Sn: 0.000 0.000 0.500
Ho: 0.625 0.250 0.375
O: 0.453 0.789 0.869
O: 0.836 0.920 0.289
Ho: 0.250 0.125 0.375
O: 0.080 0.164 0.211
Sn: 0.000 0.500 0.500
O: 0.711 0.131 0.047
Sn: 0.750 0.625 0.375
O: 0.920 0.836 0.789
Sn: 0.750 0.125 0.875
O: 0.631 0.584 0.920
O: 0.580 0.869 0.416
Ho: 0.875 0.750 0.125
O: 0.084 0.920 0.131
O: 0.336 0.789 0.420
O: 0.916 0.080 0.869

Results
Formation energy without anion corrections ... -39.90 eV per formula unit
Fermi-level density of states ... 0.3005 states/eV per atom
Total DFT energy (no corrections) ... -6.657 eV per atom
Volume ... 1176.9 Å³ per cell

No. 5
Ho3SnO6: optimized geometry, PBE-GGA.

a b c (Å): 6.715 6.715 6.715
angles (deg): 92.77 92.77 92.77
Fractional positions:
O: 0.884 0.065 0.338
Sn: 0.000 0.000 0.000
O: 0.338 0.884 0.065
O: 0.410 0.198 0.531
O: 0.802 0.469 0.590
O: 0.935 0.662 0.116
Ho: 0.747 0.440 0.931
O: 0.531 0.410 0.198
Ho: 0.440 0.931 0.747
Ho: 0.069 0.253 0.560
O: 0.662 0.116 0.935
O: 0.198 0.531 0.410
O: 0.590 0.802 0.469
Ho: 0.931 0.747 0.440
O: 0.116 0.935 0.662
Ho: 0.253 0.560 0.069
Sn: 0.500 0.500 0.500
O: 0.469 0.590 0.802
Ho: 0.560 0.069 0.253
O: 0.065 0.338 0.884

Results
Formation energy without anion corrections ... -30.33 eV per formula unit
Fermi-level density of states ... 0.0000 states/eV per atom
Total DFT energy (no corrections) ... -7.781 eV per atom
Volume ... 301.7 Å³ per cell

No. 6
Ho2SnO: optimized geometry, PBE-GGA.

a b c (Å): 4.482 4.482 8.735
angles (deg): 90.01 90.01 90.00
Fractional positions:
O: 0.750 0.750 0.573
Sn: 0.750 0.750 0.200
O: 0.250 0.250 0.427
Ho: 0.750 0.250 0.500
Ho: 0.250 0.250 0.167
Ho: 0.250 0.750 0.500
Ho: 0.750 0.750 0.833
Sn: 0.250 0.250 0.800

Results
Formation energy without anion corrections ... -7.55 eV per formula unit
Fermi-level density of states ... 0.3378 states/eV per atom
Total DFT energy (no corrections) ... -6.416 eV per atom
Volume ... 175.5 Å³ per cell

No. 7
Ho4TlSnO: optimized geometry, PBE-GGA.

a b c (Å): 6.446 6.436 8.986
angles (deg): 90.00 111.02 90.00
Fractional positions:
Ho: 0.500 0.500 0.500
Tl: 0.112 0.250 0.225
Ho: 0.418 0.750 0.836
Ho: 0.000 0.000 0.500
Ho: 0.582 0.250 0.164
Ho: 0.500 0.000 0.500
Sn: 0.390 0.250 0.779
Sn: 0.610 0.750 0.221
Ho: 0.000 0.500 0.500
O: 0.728 0.250 0.456
O: 0.272 0.750 0.544
Tl: 0.888 0.750 0.775
Ho: 0.070 0.750 0.139
Ho: 0.930 0.250 0.861

Results
Formation energy without anion corrections ... -8.24 eV per formula unit
Fermi-level density of states ... 0.6031 states/eV per atom
Total DFT energy (no corrections) ... -5.411 eV per atom
Volume ... 348.0 Å³ per cell

No. 8
SrHo2O4: optimized geometry, PBE-GGA.

a b c (Å): 3.414 10.133 11.955
angles (deg): 90.00 90.00 90.00
Fractional positions:
O: 0.750 0.624 0.021
O: 0.250 0.376 0.979
O: 0.250 0.984 0.284
O: 0.250 0.789 0.827
Sr: 0.750 0.754 0.649
O: 0.250 0.484 0.216
O: 0.250 0.289 0.673
Ho: 0.750 0.422 0.110
Ho: 0.750 0.424 0.612
Ho: 0.250 0.576 0.388
Sr: 0.250 0.246 0.351
O: 0.750 0.211 0.173
O: 0.250 0.876 0.521
O: 0.250 0.575 0.577
Ho: 0.250 0.578 0.890
Sr: 0.750 0.254 0.851
Sr: 0.250 0.746 0.149
O: 0.750 0.124 0.479
O: 0.750 0.711 0.327
Ho: 0.750 0.924 0.888
Ho: 0.250 0.078 0.610
O: 0.750 0.016 0.716
Ho: 0.750 0.922 0.390
O: 0.750 0.925 0.077
O: 0.250 0.075 0.923
O: 0.750 0.425 0.423
O: 0.750 0.516 0.784
Ho: 0.250 0.076 0.112

Results
Formation energy without anion corrections ... -23.54 eV per formula unit
Energy relative to the lowest polymorph listed for this composition ... 0.0 kJ/mol of atoms
Fermi-level density of states ... 0.0000 states/eV per atom
Total DFT energy (no corrections) ... -7.745 eV per atom
Volume ... 413.5 Å³ per cell

No. 9
SrHo2O4: optimized geometry, PBE-GGA.

a b c (Å): 3.372 5.836 11.146
angles (deg): 90.00 90.00 106.79
Fractional positions:
Ho: 0.867 0.734 0.573
O: 0.500 0.000 0.500
O: 0.763 0.527 0.392
Sr: 0.612 0.223 0.750
Sr: 0.388 0.777 0.250
Ho: 0.867 0.734 0.927
O: 0.237 0.473 0.892
O: 0.500 0.000 0.000
Ho: 0.133 0.266 0.073
O: 0.047 0.094 0.250
O: 0.953 0.906 0.750
O: 0.763 0.527 0.108
O: 0.237 0.473 0.608
Ho: 0.133 0.266 0.427

Results
Formation energy without anion corrections ... -23.34 eV per formula unit
Energy relative to the lowest polymorph listed for this composition ... 2.8 kJ/mol of atoms
Fermi-level density of states ... 0.0000 states/eV per atom
Total DFT energy (no corrections) ... -7.716 eV per atom
Volume ... 210.0 Å³ per cell

No. 10
Sr2HoTaO6: optimized geometry, PBE-GGA.

a b c (Å): 5.925 5.839 10.133
angles (deg): 55.00 90.00 90.00
Fractional positions:
O: 0.524 0.685 0.735
O: 0.199 0.766 0.960
O: 0.976 0.685 0.235
O: 0.274 0.152 0.044
Sr: 0.464 0.242 0.749
Ho: 0.000 0.500 0.500
Ho: 0.500 0.500 0.000
O: 0.726 0.848 0.956
O: 0.476 0.315 0.265
Ta: 0.500 0.000 0.500
O: 0.699 0.234 0.540
O: 0.301 0.766 0.460
O: 0.801 0.234 0.040
O: 0.226 0.152 0.544
Ta: 0.000 0.000 0.000
O: 0.774 0.848 0.456
O: 0.024 0.315 0.765
Sr: 0.536 0.758 0.251
Sr: 0.036 0.242 0.249
Sr: 0.964 0.758 0.751

Results
Formation energy without anion corrections ... -31.96 eV per formula unit
Fermi-level density of states ... 0.0000 states/eV per atom
Total DFT energy (no corrections) ... -8.150 eV per atom
Volume ... 287.2 Å³ per cell

No. 11
SrHoTe2O8: optimized geometry, PBE-GGA.

a b c (Å): 6.032 6.032 7.258
angles (deg): 90.00 90.00 120.00
Fractional positions:
Sr: 0.000 0.000 0.000
Ho: 0.000 0.000 0.500
Te: 0.667 0.333 0.221
O: 0.844 0.685 0.290
O: 0.156 0.315 0.710
O: 0.841 0.156 0.290
O: 0.667 0.333 0.969
O: 0.315 0.159 0.290
O: 0.333 0.667 0.031
O: 0.159 0.844 0.710
Te: 0.333 0.667 0.779
O: 0.685 0.841 0.710

Results
Formation energy without anion corrections ... -20.91 eV per formula unit
Fermi-level density of states ... 0.2946 states/eV per atom
Total DFT energy (no corrections) ... -6.093 eV per atom
Volume ... 228.7 Å³ per cell

No. 12
Sr4HoTi3O12: optimized geometry, PBE-GGA.

a b c (Å): 7.023 7.023 7.023
angles (deg): 109.47 109.47 109.47
Fractional positions:
Sr: 0.000 0.000 0.500
O: 0.750 0.500 0.250
Ti: 0.500 0.000 0.500
Ho: 0.000 0.000 0.000
O: 0.267 0.000 0.267
O: 0.750 0.250 0.500
Ti: 0.000 0.500 0.500
O: 0.250 0.750 0.500
O: 0.000 0.733 0.733
Sr: 0.500 0.000 0.000
O: 0.733 0.000 0.733
O: 0.000 0.267 0.267
Sr: 0.500 0.500 0.500
Ti: 0.500 0.500 0.000
O: 0.267 0.267 0.000
O: 0.733 0.733 0.000
O: 0.500 0.750 0.250
O: 0.500 0.250 0.750
Sr: 0.000 0.500 0.000
O: 0.250 0.500 0.750

Results
Formation energy without anion corrections ... -60.21 eV per formula unit
Fermi-level density of states ... 0.5928 states/eV per atom
Total DFT energy (no corrections) ... -7.735 eV per atom
Volume ... 266.6 Å³ per cell